A geometry-optimized RbTcH2 structure. Source: OQMD via LeMat-Bulk, functional PBE.

a b c (Å): 3.3563 3.3563 5.0196
angles (deg): 90.00 90.00 90.00
Positions (direct):
Rb: 0.0000 0.0000 0.0000
Tc: 0.5000 0.5000 0.5000
H: 0.0000 0.0000 0.5000
H: 0.5000 0.5000 0.0000

Output
E_tot: -13.78 eV/cell
density: 5.45 g cm⁻³
SG: No. 123
volume: 57 Å³/cell

A geometry-optimized ReH structure. Source: OQMD via LeMat-Bulk, functional PBE.

a b c (Å): 2.9335 2.9335 2.9335
angles (deg): 60.00 60.00 60.00
Positions (direct):
Re: 0.0000 0.0000 0.0000
H: 0.2500 0.2500 0.2500

Output
energy relative to the lowest polymorph listed for this composition: 251.0 meV per atom
E_tot: -14.99 eV/cell
density: 17.42 g cm⁻³
SG: No. 216
volume: 18 Å³/cell

A geometry-optimized ReH structure. Source: OQMD via LeMat-Bulk, functional PBE.

a b c (Å): 2.8993 2.8993 4.5408
angles (deg): 90.00 90.00 120.00
Positions (direct):
Re: 0.3333 0.6667 0.2500
Re: 0.6667 0.3333 0.7500
H: 0.0000 0.0000 0.0000
H: 0.0000 0.0000 0.5000

Output
energy relative to the lowest polymorph listed for this composition: 0.0 meV per atom
E_tot: -30.98 eV/cell
density: 18.81 g cm⁻³
SG: No. 194
volume: 33 Å³/cell